Record 1
Density functional theory data (PBE-GGA) for a relaxed structure of Th6Sn2Os.

Cell and atoms, written as POSCAR:
```
Th6Sn2Os
1.0
8.677 0.000 0.000
-4.339 7.515 0.000
0.000 0.000 4.026
Th Sn Os
6 2 1
direct
0.000 0.405 0.000
0.000 0.755 0.500
0.245 0.245 0.500
0.405 0.000 0.000
0.595 0.595 0.000
0.755 0.000 0.500
0.333 0.667 0.500
0.667 0.333 0.500
0.000 0.000 0.000
```

Computed properties:
Its electronic total energy is -67.489 eV/cell. The formation energy from the elements comes out at -0.415 eV/atom. As for the density of states at the Fermi level: 8.65 states/eV per cell.

Record 2
Density functional theory data (PBE-GGA) for a relaxed structure of Th2SnOs.

Cell and atoms, written as POSCAR:
```
Th2SnOs
1.0
6.376 0.000 0.000
0.000 4.110 0.000
-2.897 0.000 8.378
Th Sn Os
4 2 2
direct
0.161 0.250 0.390
0.257 0.750 0.043
0.743 0.250 0.957
0.839 0.750 0.610
0.375 0.750 0.700
0.625 0.250 0.300
0.111 0.250 0.802
0.889 0.750 0.198
```

Computed properties:
Its electronic total energy is -63.997 eV/cell. The formation energy from the elements comes out at -0.482 eV/atom. As for the density of states at the Fermi level: 6.62 states/eV per cell. Its energy above the most stable polymorph in this dataset is 0 meV/atom.

Record 3
Density functional theory data (PBE-GGA) for a relaxed structure of Th4SnOs2.

Cell and atoms, written as POSCAR:
```
Th4SnOs2
1.0
2.184 -6.712 0.000
2.184 6.712 0.000
0.000 0.000 13.802
Th Sn Os
8 2 4
direct
0.000 0.000 0.000
0.000 0.000 0.500
0.265 0.735 0.612
0.265 0.735 0.888
0.431 0.569 0.250
0.569 0.431 0.750
0.735 0.265 0.112
0.735 0.265 0.388
0.109 0.891 0.250
0.891 0.109 0.750
0.375 0.625 0.058
0.375 0.625 0.442
0.625 0.375 0.558
0.625 0.375 0.942
```

Computed properties:
Its electronic total energy is -117.731 eV/cell. The formation energy from the elements comes out at -0.389 eV/atom. As for the density of states at the Fermi level: 12.41 states/eV per cell. Its energy above the most stable polymorph in this dataset is 0 meV/atom.

Record 4
Density functional theory data (PBE-GGA) for a relaxed structure of Th4Sn3Os2.

Cell and atoms, written as POSCAR:
```
Th4Sn3Os2
1.0
6.681 -5.737 0.000
6.681 5.737 0.000
-0.046 0.000 6.253
Th Sn Os
8 6 4
direct
0.025 0.779 0.502
0.221 0.975 0.998
0.267 0.433 0.750
0.433 0.267 0.250
0.567 0.733 0.750
0.733 0.567 0.250
0.779 0.025 0.002
0.975 0.221 0.498
0.007 0.693 0.992
0.307 0.993 0.508
0.361 0.639 0.250
0.639 0.361 0.750
0.693 0.007 0.492
0.993 0.307 0.008
0.123 0.475 0.326
0.475 0.123 0.826
0.525 0.877 0.174
0.877 0.525 0.674
```

Computed properties:
Its electronic total energy is -134.871 eV/cell. The formation energy from the elements comes out at -0.365 eV/atom. As for the density of states at the Fermi level: 10.26 states/eV per cell.

Record 5
Density functional theory data (PBE-GGA) for a relaxed structure of Th5Sn2Os.

Cell and atoms, written as POSCAR:
```
Th5Sn2Os
1.0
2.870 -8.031 0.000
2.870 8.031 0.000
0.000 0.000 12.594
Th Sn Os
10 4 2
direct
0.068 0.932 0.599
0.068 0.932 0.901
0.299 0.701 0.561
0.299 0.701 0.939
0.316 0.684 0.250
0.684 0.316 0.750
0.701 0.299 0.061
0.701 0.299 0.439
0.932 0.068 0.099
0.932 0.068 0.401
0.135 0.865 0.133
0.135 0.865 0.367
0.865 0.135 0.633
0.865 0.135 0.867
0.191 0.809 0.750
0.809 0.191 0.250
```

Computed properties:
Its electronic total energy is -110.991 eV/cell. The formation energy from the elements comes out at 0.105 eV/atom. As for the density of states at the Fermi level: 24.21 states/eV per cell. Its energy above the most stable polymorph in this dataset is 560 meV/atom.

Record 6
Density functional theory data (PBE-GGA) for a relaxed structure of Th4Sn8Os.

Cell and atoms, written as POSCAR:
```
Th4Sn8Os
1.0
4.504 0.000 0.000
0.000 4.517 0.000
0.000 0.000 17.420
Th Sn Os
4 8 1
direct
0.000 0.000 0.000
0.000 0.500 0.488
0.500 0.000 0.199
0.500 0.500 0.711
0.000 0.000 0.333
0.000 0.000 0.671
0.000 0.500 0.160
0.000 0.500 0.855
0.500 0.000 0.561
0.500 0.000 0.856
0.500 0.500 0.038
0.500 0.500 0.334
0.500 0.000 0.413
```

Computed properties:
Its electronic total energy is -78.589 eV/cell. The formation energy from the elements comes out at -0.435 eV/atom. As for the density of states at the Fermi level: 7.00 states/eV per cell.

Record 7
Density functional theory data (PBE-GGA) for a relaxed structure of Th7Sn2Os2.

Cell and atoms, written as POSCAR:
```
Th7Sn2Os2
1.0
-1.916 8.204 5.121
1.916 -8.204 5.121
1.916 8.204 -5.121
Th Sn Os
7 2 2
direct
0.000 0.000 0.000
0.301 0.436 0.866
0.317 0.638 0.680
0.570 0.436 0.134
0.617 0.272 0.345
0.927 0.272 0.655
0.958 0.638 0.320
0.271 0.771 0.500
0.677 0.677 0.000
0.177 0.947 0.231
0.716 0.947 0.769
```

Computed properties:
Its electronic total energy is -86.015 eV/cell. The formation energy from the elements comes out at -0.328 eV/atom. As for the density of states at the Fermi level: 13.10 states/eV per cell. Its energy above the most stable polymorph in this dataset is 0 meV/atom.

Record 8
Density functional theory data (PBE-GGA) for a relaxed structure of Th3SnOs.

Cell and atoms, written as POSCAR:
```
Th3SnOs
1.0
3.896 -7.457 0.000
3.896 7.457 0.000
0.000 0.000 5.270
Th Sn Os
6 2 2
direct
0.000 0.500 0.500
0.127 0.873 0.000
0.307 0.307 0.500
0.500 0.000 0.500
0.693 0.693 0.500
0.873 0.127 0.000
0.360 0.640 0.000
0.640 0.360 0.000
0.105 0.895 0.500
0.895 0.105 0.500
```

Computed properties:
Its electronic total energy is -77.780 eV/cell. The formation energy from the elements comes out at -0.280 eV/atom. As for the density of states at the Fermi level: 8.75 states/eV per cell. Its energy above the most stable polymorph in this dataset is 153 meV/atom.